Below is an optimized crystal structure of RbB3Br, with properties calculated at the PBE level.

Unit cell a=6.009 b=6.009 c=6.009 alpha=90.00 beta=90.00 gamma=90.00
Atoms (fractional coordinates):
Rb: 0.000 0.000 0.000
B: 0.000 0.000 0.500
B: 0.000 0.500 0.000
B: 0.500 0.000 0.000
Br: 0.500 0.500 0.500

distance to the lowest polymorph of the same formula = 733 meV/atom
energy relative to the elements, uncorrected = 3.14 eV/atom
symmetry = Pm-3m (221)